# LaPr4Sc2

A geometry-optimized LaPr4Sc2 structure (PBE, Alexandria via LeMat-Bulk).

The structure in CIF format:
```
data_LaPr4Sc2
_cell_length_a 3.6048
_cell_length_b 15.4300
_cell_length_c 17.2110
_cell_angle_alpha 90.00
_cell_angle_beta 90.10
_cell_angle_gamma 90.00
_symmetry_space_group_name_H-M 'C 1 2/c 1'
_symmetry_Int_Tables_number 15
_symmetry_space_group_name_Hall '-C 2yc'
loop_
_atom_site_label
_atom_site_fract_x
_atom_site_fract_y
_atom_site_fract_z
_atom_site_occupancy
La1 0.0000 0.0988 0.2500 1
Pr1 0.9998 0.0647 0.5846 1
Pr2 0.0019 0.3282 0.5748 1
Sc1 0.0000 0.2260 0.7500 1
Sc2 0.0000 0.4285 0.2500 1
```

Results
total magnetic moment = 0.000 μB/f.u.
ΔH_f (0 K) = 0.238 eV per atom
density = 5.50 g/cm³
density of states at the Fermi level = 12.3 states/eV/f.u.
electronic total energy = -5.006 eV per atom